# 1
La2Nd2ErTm2: optimized geometry, PBE-GGA.

Values from the calculation:
As for the total energy: -65.38 eV/cell. The total magnetization comes out at 0.0 μB per cell. The value obtained for the volume is 470 Å³ per cell.

Unit cell a=11.4828 b=5.1407 c=8.0540 alpha=90.00 beta=98.41 gamma=90.00
Positions (direct):
La1 0.1437 0.0000 0.4269
La2 0.3563 0.5000 0.5731
La3 0.6437 0.5000 0.4269
La4 0.8563 0.0000 0.5731
Nd1 0.0707 0.5000 0.7220
Nd2 0.4293 0.0000 0.2780
Nd3 0.5707 0.0000 0.7220
Nd4 0.9293 0.5000 0.2780
Er1 0.0000 0.0000 0.0000
Er2 0.5000 0.5000 0.0000
Tm1 0.2159 0.5000 0.1371
Tm2 0.2841 0.0000 0.8629
Tm3 0.7159 0.0000 0.1371
Tm4 0.7841 0.5000 0.8629


# 2
La2Nd6ErTm3: optimized geometry, PBE-GGA.

Values from the calculation:
As for the total energy: -56.18 eV/cell. The total magnetization comes out at 0.0 μB per cell. The value obtained for the volume is 405 Å³ per cell.

Unit cell a=6.3027 b=6.3027 c=11.9680 alpha=95.04 beta=95.04 gamma=120.03
Positions (direct):
La1 0.1668 0.8332 0.0000
La2 0.8332 0.1668 0.0000
Nd1 0.0833 0.4149 0.7443
Nd2 0.2531 0.2531 0.2558
Nd3 0.4149 0.0833 0.7443
Nd4 0.5851 0.9167 0.2557
Nd5 0.7469 0.7469 0.7442
Nd6 0.9167 0.5851 0.2557
Er1 0.5000 0.5000 0.0000
Tm1 0.0000 0.0000 0.5000
Tm2 0.3337 0.6663 0.5000
Tm3 0.6663 0.3337 0.5000